1.
DFT (GGA-PBEsol) results for a geometry-optimized KZrAu2 structure.

- ΔE_f (eV/atom) = 0.1003
- DOS at the Fermi energy (states/eV/f.u.) = 3.1

Cell: 4.937 4.937 4.937 Å, 60.00 60.00 60.00°
Fractional coordinates of all 4 atoms:
K: 0.500 0.500 0.500
Zr: 0.000 0.000 0.000
Au: 0.750 0.750 0.750
Au: 0.250 0.250 0.250


2.
DFT (GGA-PBEsol) results for a geometry-optimized K2ZrAu structure.

- ΔE_f (eV/atom) = 0.4583
- DOS at the Fermi energy (states/eV/f.u.) = 3.5

Cell: 3.117 6.276 7.647 Å, 114.23 101.76 90.00°
Fractional coordinates of all 4 atoms:
K: 0.246 0.746 0.491
K: 0.054 0.054 0.108
Au: 0.769 0.269 0.538
Zr: 0.431 0.431 0.863


3.
DFT (GGA-PBEsol) results for a geometry-optimized KZrAu2 structure.

- ΔE_f (eV/atom) = -0.0461
- DOS at the Fermi energy (states/eV/f.u.) = 2.3

Cell: 2.849 5.364 5.825 Å, 102.07 104.16 90.00°
Fractional coordinates of all 4 atoms:
K: 0.520 0.569 0.039
Au: 0.274 0.701 0.549
Au: 0.983 0.056 0.966
Zr: 0.723 0.174 0.445


4.
DFT (GGA-PBEsol) results for a geometry-optimized La4Au structure.

- ΔE_f (eV/atom) = -0.2917
- DOS at the Fermi energy (states/eV/f.u.) = 6.6

Cell: 3.748 6.669 6.669 Å, 85.47 73.68 73.68°
Fractional coordinates of all 5 atoms:
Au: 0.000 0.000 0.000
La: 0.580 0.648 0.191
La: 0.772 0.809 0.648
La: 0.228 0.191 0.352
La: 0.420 0.352 0.809


5.
DFT (GGA-PBEsol) results for a geometry-optimized LaAu structure.

- ΔE_f (eV/atom) = -0.6875
- DOS at the Fermi energy (states/eV/f.u.) = 2.0

Cell: 6.748 8.901 10.486 Å, 90.00 90.00 90.00°
Fractional coordinates of all 24 atoms:
Au: 0.250 0.862 0.150
Au: 0.500 0.750 0.939
Au: 0.250 0.957 0.577
Au: 0.750 0.138 0.850
Au: 0.750 0.543 0.577
Au: 0.750 0.638 0.150
Au: 0.500 0.250 0.061
Au: 0.250 0.457 0.423
Au: 0.000 0.750 0.939
Au: 0.000 0.250 0.061
Au: 0.250 0.362 0.850
Au: 0.750 0.043 0.423
La: 0.250 0.139 0.297
La: 0.500 0.250 0.605
La: 0.000 0.750 0.395
La: 0.500 0.750 0.395
La: 0.250 0.028 0.883
La: 0.750 0.861 0.703
La: 0.750 0.972 0.117
La: 0.750 0.472 0.883
La: 0.250 0.639 0.703
La: 0.000 0.250 0.605
La: 0.750 0.361 0.297
La: 0.250 0.528 0.117


6.
DFT (GGA-PBEsol) results for a geometry-optimized LaAu structure.

- ΔE_f (eV/atom) = -0.7077
- DOS at the Fermi energy (states/eV/f.u.) = 1.6

Cell: 3.929 5.882 8.005 Å, 108.56 90.00 109.51°
Fractional coordinates of all 6 atoms:
La: 0.815 0.631 0.964
La: 0.983 0.965 0.617
La: 0.636 0.273 0.310
Au: 0.267 0.534 0.632
Au: 0.107 0.214 0.011
Au: 0.359 0.717 0.299


7.
DFT (GGA-PBEsol) results for a geometry-optimized La3Au structure.

- ΔE_f (eV/atom) = -0.3394
- DOS at the Fermi energy (states/eV/f.u.) = 4.7

Cell: 3.720 5.637 6.477 Å, 115.80 106.69 90.00°
Fractional coordinates of all 4 atoms:
La: 0.275 0.275 0.549
La: 0.725 0.725 0.451
La: 0.500 0.000 0.000
Au: 0.000 0.500 0.000


8.
DFT (GGA-PBEsol) results for a geometry-optimized La5Au3 structure.

- ΔE_f (eV/atom) = -0.5665
- DOS at the Fermi energy (states/eV/f.u.) = 8.3

Cell: 6.836 8.778 8.778 Å, 120.00 90.00 90.00°
Fractional coordinates of all 16 atoms:
Au: 0.250 0.603 0.603
Au: 0.750 0.603 0.000
Au: 0.750 0.000 0.603
Au: 0.250 0.397 0.000
Au: 0.750 0.397 0.397
Au: 0.250 0.000 0.397
La: 0.500 0.333 0.667
La: 0.250 0.757 0.000
La: 0.750 0.000 0.243
La: 0.250 0.243 0.243
La: 0.000 0.667 0.333
La: 0.000 0.333 0.667
La: 0.750 0.757 0.757
La: 0.250 0.000 0.757
La: 0.500 0.667 0.333
La: 0.750 0.243 0.000


9.
DFT (GGA-PBEsol) results for a geometry-optimized La2Au3 structure.

- ΔE_f (eV/atom) = -0.7458
- DOS at the Fermi energy (states/eV/f.u.) = 2.8

Cell: 3.792 3.792 8.756 Å, 102.51 102.51 90.00°
Fractional coordinates of all 5 atoms:
Au: 0.704 0.704 0.408
Au: 0.296 0.296 0.592
Au: 0.500 0.500 0.000
La: 0.889 0.889 0.778
La: 0.111 0.111 0.222


10.
DFT (GGA-PBEsol) results for a geometry-optimized La3Au structure.

- ΔE_f (eV/atom) = -0.3639
- DOS at the Fermi energy (states/eV/f.u.) = 6.3

Cell: 3.728 3.728 8.454 Å, 90.00 90.00 90.00°
Fractional coordinates of all 4 atoms:
Au: 0.000 0.000 0.000
La: 0.500 0.500 0.211
La: 0.500 0.500 0.789
La: 0.000 0.000 0.500


11.
DFT (GGA-PBEsol) results for a geometry-optimized LaAu2 structure.

- ΔE_f (eV/atom) = -0.7309
- DOS at the Fermi energy (states/eV/f.u.) = 1.4

Cell: 4.029 4.029 9.425 Å, 102.34 102.34 90.00°
Fractional coordinates of all 6 atoms:
Au: 0.674 0.174 0.349
Au: 0.826 0.326 0.651
Au: 0.576 0.576 0.151
Au: 0.424 0.424 0.849
La: 0.250 0.750 0.500
La: 0.000 0.000 0.000


12.
DFT (GGA-PBEsol) results for a geometry-optimized LaAu4 structure.

- ΔE_f (eV/atom) = -0.5040
- DOS at the Fermi energy (states/eV/f.u.) = 2.1

Cell: 8.220 8.220 8.220 Å, 109.47 109.47 109.47°
Fractional coordinates of all 20 atoms:
La: 0.000 0.419 0.000
La: 0.419 0.000 0.000
La: 0.581 0.581 0.581
La: 0.000 0.000 0.419
Au: 0.250 0.500 0.750
Au: 0.500 0.250 0.750
Au: 0.000 0.000 0.781
Au: 0.352 0.000 0.352
Au: 0.000 0.352 0.352
Au: 0.648 0.648 0.000
Au: 0.750 0.250 0.500
Au: 0.250 0.750 0.500
Au: 0.219 0.219 0.219
Au: 0.000 0.648 0.648
Au: 0.648 0.000 0.648
Au: 0.781 0.000 0.000
Au: 0.000 0.781 0.000
Au: 0.500 0.750 0.250
Au: 0.750 0.500 0.250
Au: 0.352 0.352 0.000


13.
DFT (GGA-PBEsol) results for a geometry-optimized LaAu3 structure.

- ΔE_f (eV/atom) = -0.6159
- DOS at the Fermi energy (states/eV/f.u.) = 1.2

Cell: 4.942 4.942 4.942 Å, 60.00 60.00 60.00°
Fractional coordinates of all 4 atoms:
Au: 0.250 0.250 0.250
Au: 0.500 0.500 0.500
Au: 0.750 0.750 0.750
La: 0.000 0.000 0.000


14.
DFT (GGA-PBEsol) results for a geometry-optimized La5Au3 structure.

- ΔE_f (eV/atom) = -0.5496
- DOS at the Fermi energy (states/eV/f.u.) = 10.1

Cell: 6.327 8.923 8.923 Å, 82.78 69.24 69.24°
Fractional coordinates of all 16 atoms:
Au: 0.750 0.000 0.000
Au: 0.160 0.180 0.500
Au: 0.340 0.500 0.820
Au: 0.840 0.820 0.500
Au: 0.250 0.000 0.000
Au: 0.660 0.500 0.180
La: 0.414 0.871 0.301
La: 0.250 0.500 0.500
La: 0.715 0.699 0.871
La: 0.586 0.129 0.699
La: 0.750 0.500 0.500
La: 0.086 0.699 0.129
La: 0.785 0.129 0.301
La: 0.215 0.871 0.699
La: 0.285 0.301 0.129
La: 0.914 0.301 0.871


15.
DFT (GGA-PBEsol) results for a geometry-optimized La5Au4 structure.

- ΔE_f (eV/atom) = -0.6204
- DOS at the Fermi energy (states/eV/f.u.) = 9.1

Cell: 7.220 8.902 8.902 Å, 120.00 90.00 90.00°
Fractional coordinates of all 18 atoms:
Au: 0.500 0.000 0.000
Au: 0.750 0.609 0.609
Au: 0.750 0.391 0.000
Au: 0.000 0.000 0.000
Au: 0.750 0.000 0.391
Au: 0.250 0.609 0.000
Au: 0.250 0.000 0.609
Au: 0.250 0.391 0.391
La: 0.750 0.000 0.730
La: 0.250 0.730 0.730
La: 0.500 0.667 0.333
La: 0.750 0.270 0.270
La: 0.250 0.000 0.270
La: 0.750 0.730 0.000
La: 0.250 0.270 0.000
La: 0.500 0.333 0.667
La: 0.000 0.333 0.667
La: 0.000 0.667 0.333


16.
DFT (GGA-PBEsol) results for a geometry-optimized LaAu22 structure.

- ΔE_f (eV/atom) = -0.0302
- DOS at the Fermi energy (states/eV/f.u.) = 8.1

Cell: 10.572 10.572 10.572 Å, 60.00 60.00 60.00°
Fractional coordinates of all 46 atoms:
Au: 0.361 0.639 0.361
Au: 0.889 0.611 0.611
Au: 0.446 0.446 0.183
Au: 0.326 0.067 0.804
Au: 0.125 0.625 0.125
Au: 0.924 0.446 0.183
Au: 0.125 0.625 0.625
Au: 0.639 0.361 0.639
Au: 0.804 0.804 0.067
Au: 0.889 0.889 0.611
Au: 0.446 0.183 0.446
Au: 0.625 0.625 0.125
Au: 0.625 0.625 0.625
Au: 0.326 0.804 0.067
Au: 0.446 0.446 0.924
Au: 0.924 0.446 0.446
Au: 0.639 0.361 0.361
Au: 0.804 0.804 0.326
Au: 0.446 0.924 0.446
Au: 0.804 0.326 0.067
Au: 0.804 0.067 0.326
Au: 0.639 0.639 0.361
Au: 0.804 0.326 0.804
Au: 0.183 0.446 0.446
Au: 0.067 0.804 0.804
Au: 0.361 0.639 0.639
Au: 0.611 0.889 0.889
Au: 0.183 0.446 0.924
Au: 0.446 0.924 0.183
Au: 0.446 0.183 0.924
Au: 0.625 0.125 0.125
Au: 0.067 0.804 0.326
Au: 0.326 0.804 0.804
Au: 0.611 0.889 0.611
Au: 0.611 0.611 0.889
Au: 0.125 0.125 0.625
Au: 0.889 0.611 0.889
Au: 0.183 0.924 0.446
Au: 0.067 0.326 0.804
Au: 0.361 0.361 0.639
Au: 0.924 0.183 0.446
Au: 0.125 0.125 0.125
Au: 0.625 0.125 0.625
Au: 0.804 0.067 0.804
La: 0.250 0.250 0.250
La: 0.000 0.000 0.000


17.
DFT (GGA-PBEsol) results for a geometry-optimized La2Au3 structure.

- ΔE_f (eV/atom) = -0.6501
- DOS at the Fermi energy (states/eV/f.u.) = 3.3

Cell: 5.057 5.057 6.054 Å, 65.31 65.31 60.00°
Fractional coordinates of all 5 atoms:
Au: 0.500 0.500 0.500
Au: 0.088 0.088 0.737
Au: 0.912 0.912 0.263
La: 0.728 0.728 0.817
La: 0.272 0.272 0.183


18.
DFT (GGA-PBEsol) results for a geometry-optimized La3Au structure.

- ΔE_f (eV/atom) = -0.2315
- DOS at the Fermi energy (states/eV/f.u.) = 6.1

Cell: 3.840 3.840 10.173 Å, 90.00 90.00 120.00°
Fractional coordinates of all 4 atoms:
La: 0.000 0.000 0.500
La: 0.667 0.333 0.205
La: 0.667 0.333 0.795
Au: 0.000 0.000 0.000


19.
DFT (GGA-PBEsol) results for a geometry-optimized La3Au structure.

- ΔE_f (eV/atom) = -0.3629
- DOS at the Fermi energy (states/eV/f.u.) = 4.2

Cell: 3.669 5.895 6.486 Å, 117.03 106.43 90.00°
Fractional coordinates of all 4 atoms:
La: 0.293 0.646 0.586
La: 0.707 0.059 0.414
La: 0.500 0.440 0.000
Au: 0.000 0.022 0.000


20.
DFT (GGA-PBEsol) results for a geometry-optimized LaAu2 structure.

- ΔE_f (eV/atom) = -0.7119
- DOS at the Fermi energy (states/eV/f.u.) = 1.8

Cell: 5.360 6.147 8.417 Å, 90.00 90.00 90.00°
Fractional coordinates of all 12 atoms:
Au: 0.750 0.014 0.746
Au: 0.250 0.229 0.554
Au: 0.250 0.729 0.946
Au: 0.250 0.986 0.254
Au: 0.750 0.271 0.054
Au: 0.750 0.514 0.754
Au: 0.250 0.486 0.246
Au: 0.750 0.771 0.446
La: 0.250 0.728 0.592
La: 0.250 0.228 0.908
La: 0.750 0.272 0.408
La: 0.750 0.772 0.092